VASP calculation (SCAN) on a PBEsol-optimized structure of FeSb2TePb.

```
FeSb2TePb
1.0
-3.159 1.035 4.686
2.694 -4.104 2.723
3.838 3.694 1.771
Te Sb Pb Fe
1 2 1 1
direct
0.500 0.000 0.000
0.000 0.000 0.500
0.000 0.500 0.000
0.000 0.000 0.000
0.500 0.500 0.500
```

Output
The value obtained for the total energy is -39.74 eV/atom. As for the density of states at the Fermi level: 6.5 states/eV/cell. For the magnetization, the calculation gives 3.460 μB/cell. Its space group is P4/mmm, No. 123. The uncorrected formation energy is 134.5 kJ/mol of atoms.


VASP calculation (SCAN) on a PBEsol-optimized structure of ScFePb2.

```
ScFePb2
1.0
-1.490 2.549 -2.857
-3.634 -2.636 -0.456
-2.116 2.361 3.211
Fe Pb Sc
1 2 1
direct
0.500 0.500 0.500
0.000 0.500 0.000
0.000 0.000 0.500
0.500 0.000 0.000
```

Output
The value obtained for the total energy is -46.03 eV/atom. As for the density of states at the Fermi level: 2.0 states/eV/cell. For the magnetization, the calculation gives 2.858 μB/cell. Its space group is P4/mmm, No. 123. The energy of formation from the pure elements is -52 meV per atom.


VASP calculation (SCAN) on a PBEsol-optimized structure of ScFePb2.

```
ScFePb2
1.0
3.386 0.000 0.000
1.693 2.932 0.000
1.693 0.977 8.565
Pb Sc Fe
2 1 1
direct
0.740 0.740 0.781
0.260 0.260 0.219
0.500 0.500 0.500
0.000 0.000 0.000
```

Output
The value obtained for the total energy is -45.82 eV/atom. As for the density of states at the Fermi level: 3.5 states/eV/cell. For the magnetization, the calculation gives 3.701 μB/cell. Its space group is R-3m, No. 166. The energy of formation from the pure elements is 162 meV per atom.


VASP calculation (SCAN) on a PBEsol-optimized structure of ScFePb3.

```
ScFePb3
1.0
5.053 0.000 0.000
0.000 5.053 0.000
0.000 0.000 5.053
Pb Sc Fe
3 1 1
direct
0.000 0.500 0.000
0.500 0.000 0.000
0.000 0.000 0.500
0.500 0.500 0.500
0.000 0.000 0.000
```

Output
The value obtained for the total energy is -51.58 eV/atom. As for the density of states at the Fermi level: 3.9 states/eV/cell. For the magnetization, the calculation gives 3.534 μB/cell. Its space group is Pm-3m, No. 221. The energy of formation from the pure elements is 362 meV per atom.


VASP calculation (SCAN) on a PBEsol-optimized structure of ScFePb2.

```
ScFePb2
1.0
-2.056 -1.349 -2.420
0.271 -3.986 1.992
-3.684 1.795 4.093
Fe Pb Sc
1 2 1
direct
0.443 0.500 0.751
0.890 0.000 0.954
0.548 0.500 0.292
0.119 0.000 0.504
```

Output
The value obtained for the total energy is -45.90 eV/atom. As for the density of states at the Fermi level: 2.6 states/eV/cell. For the magnetization, the calculation gives 2.258 μB/cell. Its space group is Pm, No. 6. The energy of formation from the pure elements is 82 meV per atom.


VASP calculation (SCAN) on a PBEsol-optimized structure of ScFePb2.

```
ScFePb2
1.0
4.976 0.000 0.000
2.488 4.310 0.000
2.488 1.437 4.063
Pb Fe Sc
2 1 1
direct
0.750 0.750 0.750
0.000 0.000 0.000
0.500 0.500 0.500
0.250 0.250 0.250
```

Output
The value obtained for the total energy is -45.72 eV/atom. As for the density of states at the Fermi level: 2.7 states/eV/cell. For the magnetization, the calculation gives 1.787 μB/cell. Its space group is F-43m, No. 216. The energy of formation from the pure elements is 263 meV per atom.